# 1
This record from the Alexandria database describes a geometry-optimized TaAlSe4 structure. The functional is GGA-PBEsol.

abc: 5.4718 5.4718 5.4718
angles: 60.00 60.00 60.00
Element x y z (fractional)
Al: 0.0000 0.0000 0.0000
Se: 0.3759 0.3759 0.3759
Se: 0.3759 0.3759 0.8723
Se: 0.8723 0.3759 0.3759
Se: 0.3759 0.8723 0.3759
Ta: 0.7500 0.7500 0.7500

Results
ΔE_f (raw) (eV/atom): 0.87
Total DFT energy (no corrections) (eV per atom): -4.47
Magnetic moment (Bohr magnetons per cell): 0.00
Crystal system: cubic
Calculated volume (Å³/cell): 116

# 2
This record from the Alexandria database describes a geometry-optimized Sr2LiHf structure. The functional is GGA-PBEsol.

abc: 5.6959 5.6959 5.6959
angles: 60.00 60.00 60.00
Element x y z (fractional)
Sr: 0.2500 0.2500 0.2500
Sr: 0.7500 0.7500 0.7500
Hf: 0.5000 0.5000 0.5000
Li: 0.0000 0.0000 0.0000

Results
ΔE_f (eV per atom): 0.6458
Total DFT energy (no corrections) (eV per atom): -3.39
Magnetic moment (Bohr magnetons per cell): 0.00
Crystal system: cubic
Calculated volume (Å³/cell): 131

# 3
This record from the Alexandria database describes a geometry-optimized CuPd3 structure. The functional is GGA-PBEsol.

abc: 3.7914 3.7914 4.6870
angles: 113.86 113.86 90.00
Element x y z (fractional)
Pd: 0.2500 0.7500 0.5000
Pd: 0.7500 0.2500 0.5000
Pd: 0.5000 0.5000 0.0000
Cu: 0.0000 0.0000 0.0000

Results
ΔE_f (eV per atom): -0.0554
Total DFT energy (no corrections) (eV per atom): -5.61
Magnetic moment (Bohr magnetons per cell): 0.00
Crystal system: tetragonal
Calculated volume (Å³/cell): 55

# 4
This record from the Alexandria database describes a geometry-optimized CdFeIr2 structure. The functional is GGA-PBEsol.

abc: 4.3683 4.3683 4.3683
angles: 60.00 60.00 60.00
Site moments in Bohr magnetons follow the coordinates.
Element x y z (fractional)
Cd: 0.5000 0.5000 0.5000  -0.01
Fe: 0.2500 0.2500 0.2500  2.71
Ir: 0.0000 0.0000 0.0000  0.24
Ir: 0.7500 0.7500 0.7500  -0.03

Results
ΔE_f (eV per atom): 0.4416
Total DFT energy (no corrections) (eV per atom): -7.01
Magnetic moment (Bohr magnetons per cell): 2.92
Crystal system: cubic
Calculated volume (Å³/cell): 59

# 5
This record from the Alexandria database describes a geometry-optimized TcSnTeH2 structure. The functional is GGA-PBEsol.

abc: 3.7843 3.7843 5.4616
angles: 90.00 90.00 90.00
Site moments in Bohr magnetons follow the coordinates.
Element x y z (fractional)
H: 0.0000 0.5000 0.0000  0.00
H: 0.5000 0.0000 0.0000  0.00
Te: 0.0000 0.0000 0.0000  0.00
Sn: 0.5000 0.5000 0.5000  -0.02
Tc: 0.0000 0.0000 0.5000  0.64

Results
Total DFT energy (no corrections) (eV per atom): -4.65
Magnetic moment (Bohr magnetons per cell): 0.61
Crystal system: tetragonal
Calculated volume (Å³/cell): 78

# 6
This record from the Alexandria database describes a geometry-optimized NaLaI2O structure. The functional is GGA-PBEsol.

abc: 4.3260 6.4663 6.4663
angles: 90.00 90.00 90.00
Element x y z (fractional)
I: 0.0000 0.0000 0.5000
I: 0.0000 0.5000 0.0000
Na: 0.5000 0.5000 0.5000
O: 0.5000 0.0000 0.0000
La: 0.0000 0.0000 0.0000

Results
ΔE_f (raw) (eV/atom): -1.73
Total DFT energy (no corrections) (eV per atom): -4.84
Magnetic moment (Bohr magnetons per cell): 0.00
Crystal system: tetragonal
Calculated volume (Å³/cell): 181

# 7
This record from the Alexandria database describes a geometry-optimized LaYMo2 structure. The functional is GGA-PBEsol.

abc: 3.3943 5.0423 5.5888
angles: 116.81 107.68 90.00
Element x y z (fractional)
La: 0.0000 0.5000 0.0000
Mo: 0.7372 0.7372 0.4744
Mo: 0.2628 0.2628 0.5256
Y: 0.5000 0.0000 0.0000

Results
ΔE_f (eV per atom): 0.6542
Total DFT energy (no corrections) (eV per atom): -8.27
Magnetic moment (Bohr magnetons per cell): 0.00
Crystal system: orthorhombic
Calculated volume (Å³/cell): 80

# 8
This record from the Alexandria database describes a geometry-optimized Mg2TaAg structure. The functional is GGA-PBEsol.

abc: 2.9228 2.9228 8.4115
angles: 90.00 90.00 90.00
Element x y z (fractional)
Ag: 0.5000 0.5000 0.5000
Mg: 0.0000 0.0000 0.7398
Mg: 0.0000 0.0000 0.2602
Ta: 0.5000 0.5000 0.0000

Results
ΔE_f (eV per atom): 0.0726
Total DFT energy (no corrections) (eV per atom): -4.75
Magnetic moment (Bohr magnetons per cell): 0.00
Crystal system: tetragonal
Calculated volume (Å³/cell): 72

# 9
This record from the Alexandria database describes a geometry-optimized LaNiOs2 structure. The functional is GGA-PBEsol.

abc: 2.9020 4.8641 5.5516
angles: 115.98 105.15 90.00
Element x y z (fractional)
La: 0.4953 0.4953 0.9906
Ni: 0.7235 0.2235 0.4470
Os: 0.0034 0.0034 0.0068
Os: 0.2778 0.7778 0.5556

Results
ΔE_f (eV per atom): 0.5963
Total DFT energy (no corrections) (eV per atom): -8.39
Magnetic moment (Bohr magnetons per cell): 0.00
Crystal system: orthorhombic
Calculated volume (Å³/cell): 67

# 10
This record from the Alexandria database describes a geometry-optimized Li3TlF structure. The functional is GGA-PBEsol.

abc: 4.1539 4.1539 4.1539
angles: 90.00 90.00 90.00
Element x y z (fractional)
Tl: 0.5000 0.5000 0.5000
Li: 0.0000 0.5000 0.0000
Li: 0.0000 0.0000 0.5000
Li: 0.5000 0.0000 0.0000
F: 0.0000 0.0000 0.0000

Results
ΔE_f (raw) (eV/atom): -1.20
Total DFT energy (no corrections) (eV per atom): -3.30
Magnetic moment (Bohr magnetons per cell): 0.00
Crystal system: cubic
Calculated volume (Å³/cell): 72

# 11
This record from the Alexandria database describes a geometry-optimized TeWI2O structure. The functional is GGA-PBEsol.

abc: 5.1454 5.4173 5.4173
angles: 90.00 90.00 90.00
Site moments in Bohr magnetons follow the coordinates.
Element x y z (fractional)
I: 0.0000 0.0000 0.5000  0.01
I: 0.0000 0.5000 0.0000  0.01
Te: 0.5000 0.0000 0.0000  0.06
O: 0.5000 0.5000 0.5000  1.17
W: 0.0000 0.0000 0.0000  -0.56

Results
ΔE_f (raw) (eV/atom): 1.00
Total DFT energy (no corrections) (eV per atom): -4.22
Magnetic moment (Bohr magnetons per cell): 0.90
Crystal system: tetragonal
Calculated volume (Å³/cell): 151

# 12
This record from the Alexandria database describes a geometry-optimized LiTa4Mo structure. The functional is GGA-PBEsol.

abc: 5.3628 5.3628 5.3628
angles: 60.00 60.00 60.00
Element x y z (fractional)
Li: 0.7500 0.7500 0.7500
Mo: 0.0000 0.0000 0.0000
Ta: 0.3734 0.3734 0.3734
Ta: 0.3734 0.3734 0.8798
Ta: 0.8798 0.3734 0.3734
Ta: 0.3734 0.8798 0.3734

Results
ΔE_f (eV per atom): 0.6649
Total DFT energy (no corrections) (eV per atom): -9.99
Magnetic moment (Bohr magnetons per cell): 0.00
Crystal system: cubic
Calculated volume (Å³/cell): 109

# 13
This record from the Alexandria database describes a geometry-optimized InHg3 structure. The functional is GGA-PBEsol.

abc: 3.2673 5.5952 5.6170
angles: 101.69 88.93 109.25
Element x y z (fractional)
Hg: 0.5000 0.0000 0.5000
Hg: 0.2463 0.4979 0.7474
Hg: 0.7536 0.5021 0.2526
In: 0.0000 0.0000 0.0000

Results
ΔE_f (eV per atom): -0.0170
Total DFT energy (no corrections) (eV per atom): -1.19
Magnetic moment (Bohr magnetons per cell): 0.00
Crystal system: triclinic
Calculated volume (Å³/cell): 95

# 14
This record from the Alexandria database describes a geometry-optimized Y2InPb structure. The functional is GGA-PBEsol.

abc: 4.8763 5.5626 4.8763
angles: 64.00 90.00 116.00
Element x y z (fractional)
Pb: 0.0000 0.0000 0.0000
Y: 0.2500 0.5000 0.2500
Y: 0.7500 0.5000 0.7500
In: 0.5000 0.0000 0.5000

Results
ΔE_f (eV per atom): -0.5317
Total DFT energy (no corrections) (eV per atom): -5.69
Magnetic moment (Bohr magnetons per cell): 0.00
Crystal system: tetragonal
Calculated volume (Å³/cell): 104

# 15
This record from the Alexandria database describes a geometry-optimized ZrTa2Hg structure. The functional is GGA-PBEsol.

abc: 2.8528 2.8528 9.3529
angles: 90.00 90.00 90.00
Element x y z (fractional)
Hg: 0.5000 0.5000 0.5000
Ta: 0.0000 0.0000 0.7433
Ta: 0.0000 0.0000 0.2567
Zr: 0.5000 0.5000 0.0000

Results
ΔE_f (eV per atom): 0.1898
Total DFT energy (no corrections) (eV per atom): -8.50
Magnetic moment (Bohr magnetons per cell): 0.00
Crystal system: tetragonal
Calculated volume (Å³/cell): 76

# 16
This record from the Alexandria database describes a geometry-optimized YHf3As structure. The functional is GGA-PBEsol.

abc: 4.9879 4.9879 4.9879
angles: 90.00 90.00 90.00
Element x y z (fractional)
Y: 0.5000 0.5000 0.5000
As: 0.0000 0.0000 0.0000
Hf: 0.0000 0.5000 0.0000
Hf: 0.0000 0.0000 0.5000
Hf: 0.5000 0.0000 0.0000

Results
ΔE_f (eV per atom): 0.0009
Total DFT energy (no corrections) (eV per atom): -8.69
Magnetic moment (Bohr magnetons per cell): 0.00
Crystal system: cubic
Calculated volume (Å³/cell): 124

# 17
This record from the Alexandria database describes a geometry-optimized MgTlNi2 structure. The functional is GGA-PBEsol.

abc: 3.4920 4.0820 4.0820
angles: 90.00 90.00 90.00
Element x y z (fractional)
Ni: 0.0000 0.0000 0.5000
Ni: 0.0000 0.5000 0.0000
Tl: 0.5000 0.5000 0.5000
Mg: 0.5000 0.0000 0.0000

Results
ΔE_f (eV per atom): 0.0100
Total DFT energy (no corrections) (eV per atom): -4.16
Magnetic moment (Bohr magnetons per cell): 0.00
Crystal system: tetragonal
Calculated volume (Å³/cell): 58

# 18
This record from the Alexandria database describes a geometry-optimized Ca2YAu structure. The functional is GGA-PBEsol.

abc: 3.6220 3.6220 9.2655
angles: 90.00 90.00 90.00
Element x y z (fractional)
Y: 0.5000 0.5000 0.5699
Ca: 0.5000 0.5000 0.9348
Ca: 0.0000 0.0000 0.2653
Au: 0.0000 0.0000 0.7301

Results
ΔE_f (eV per atom): -0.3978
Total DFT energy (no corrections) (eV per atom): -4.15
Magnetic moment (Bohr magnetons per cell): 0.00
Crystal system: tetragonal
Calculated volume (Å³/cell): 122

# 19
This record from the Alexandria database describes a geometry-optimized TlHg2Au structure. The functional is GGA-PBEsol.

abc: 5.0312 5.0312 5.0312
angles: 60.00 60.00 60.00
Element x y z (fractional)
Tl: 0.5000 0.5000 0.5000
Au: 0.0000 0.0000 0.0000
Hg: 0.2500 0.2500 0.2500
Hg: 0.7500 0.7500 0.7500

Results
ΔE_f (eV per atom): 0.0772
Total DFT energy (no corrections) (eV per atom): -1.84
Magnetic moment (Bohr magnetons per cell): 0.00
Crystal system: cubic
Calculated volume (Å³/cell): 90

# 20
This record from the Alexandria database describes a geometry-optimized HgPtW2 structure. The functional is GGA-PBEsol.

abc: 3.8689 3.8689 5.1124
angles: 112.23 112.23 90.00
Element x y z (fractional)
Hg: 0.0000 0.0000 0.0000
Pt: 0.5000 0.5000 0.0000
W: 0.7500 0.2500 0.5000
W: 0.2500 0.7500 0.5000

Results
ΔE_f (eV per atom): 0.3828
Total DFT energy (no corrections) (eV per atom): -8.40
Magnetic moment (Bohr magnetons per cell): 0.00
Crystal system: tetragonal
Calculated volume (Å³/cell): 65